(1)
Compound: TaSi2Os
Source: Alexandria
Functional: GGA-PBE
Structure: optimized geometry

The structure in extended XYZ format:
```
4
Lattice="1.585 -2.291 0.000 1.585 2.291 0.000 0.000 0.000 8.366" Properties=species:S:1:pos:R:3 pbc="T T T"
Ta 0.000 0.000 0.000
Si 0.000 0.000 4.220
Si 1.585 0.000 2.106
Os 1.585 0.000 6.136
```

- Energy relative to the elements, uncorrected: 0.21 eV/atom
- Volume: 15.2 Å³/atom
- Mass density: 11686 kg/m³
- Final energy: -33.092 eV per formula unit

=====

(2)
Compound: Nd12Ho7Mg
Source: Alexandria
Functional: GGA-PBE
Structure: optimized geometry

The structure in extended XYZ format:
```
20
Lattice="-5.796 5.796 5.796 5.796 -5.796 5.796 5.796 5.796 -5.796" Properties=species:S:1:pos:R:3 pbc="T T T"
Nd 5.796 -2.907 2.933
Nd 2.888 2.863 0.000
Nd 8.703 2.863 0.000
Nd 2.933 5.796 -2.907
Nd 2.863 0.000 2.888
Nd 0.000 2.888 2.863
Nd 5.796 2.907 2.933
Nd 2.933 5.796 2.907
Nd 2.863 0.000 8.703
Nd -2.907 2.933 5.796
Nd 2.907 2.933 5.796
Nd 0.000 8.703 2.863
Ho 2.898 2.898 -2.898
Ho 2.898 -2.898 2.898
Ho 5.796 0.000 0.000
Ho -2.898 2.898 2.898
Ho 0.000 5.796 0.000
Ho 0.000 0.000 5.796
Ho 2.898 2.898 2.898
Mg 0.000 0.000 0.000
```

- Volume: 38.9 Å³/atom
- Mass density: 6205 kg/m³
- Calculated formation energy: 0.68 eV/atom
- Final energy: -77.203 eV per formula unit

=====

(3)
Compound: SiRu
Source: Alexandria
Functional: GGA-PBE
Structure: optimized geometry

The structure in extended XYZ format:
```
4
Lattice="4.215 -1.490 0.000 4.215 1.490 0.000 -3.667 0.000 4.361" Properties=species:S:1:pos:R:3 pbc="T T T"
Si 1.189 0.000 0.609
Si 3.574 0.000 3.752
Ru 1.231 0.000 3.062
Ru 3.531 0.000 1.299
```

- Energy relative to the elements, uncorrected: -0.53 eV/atom
- Volume: 13.7 Å³/atom
- Mass density: 7830 kg/m³
- Final energy: -15.755 eV per formula unit

=====

(4)
Compound: SrIn2B
Source: Alexandria
Functional: GGA-PBE
Structure: optimized geometry

The structure in extended XYZ format:
```
8
Lattice="-3.563 3.563 4.848 3.563 -3.563 4.848 3.563 3.563 -4.848" Properties=species:S:1:pos:R:3 pbc="T T T"
Sr 0.000 0.000 0.000
Sr 0.000 3.563 2.424
In 1.781 -0.586 3.636
In 2.977 1.781 1.212
In 1.781 4.149 -1.212
In 0.586 1.781 6.060
B 3.563 0.000 2.424
B 0.000 0.000 4.848
```

- Volume: 30.8 Å³/atom
- Mass density: 4426 kg/m³
- Calculated formation energy: 0.44 eV/atom
- Final energy: -12.090 eV per formula unit

=====

(5)
Compound: Cd2Ge2Au
Source: Alexandria
Functional: GGA-PBE
Structure: optimized geometry

The structure in extended XYZ format:
```
10
Lattice="6.620 0.000 0.000 0.000 6.620 0.000 0.000 0.000 4.982" Properties=species:S:1:pos:R:3 pbc="T T T"
Cd 1.151 2.159 0.000
Cd 2.159 5.469 0.000
Cd 4.461 1.151 0.000
Cd 5.469 4.461 0.000
Ge 0.914 4.224 2.491
Ge 2.396 0.914 2.491
Ge 4.224 5.706 2.491
Ge 5.706 2.396 2.491
Au 0.000 0.000 2.491
Au 3.310 3.310 2.491
```

- Volume: 21.8 Å³/atom
- Mass density: 8625 kg/m³
- Calculated formation energy: 0.09 eV/atom
- Final energy: -13.892 eV per formula unit

=====

(6)
Compound: InSi3Se
Source: Alexandria
Functional: GGA-PBE
Structure: optimized geometry

The structure in extended XYZ format:
```
5
Lattice="4.936 0.000 0.000 0.000 4.936 0.000 0.000 0.000 4.936" Properties=species:S:1:pos:R:3 pbc="T T T"
In 0.000 0.000 0.000
Si 0.000 2.468 2.468
Si 2.468 0.000 2.468
Si 2.468 2.468 0.000
Se 2.468 2.468 2.468
```

- Energy relative to the elements, uncorrected: 0.94 eV/atom
- Volume: 24.1 Å³/atom
- Mass density: 3838 kg/m³
- Final energy: -17.771 eV per formula unit

=====

(7)
Compound: K2BeHg
Source: Alexandria
Functional: GGA-PBE
Structure: optimized geometry

The structure in extended XYZ format:
```
4
Lattice="4.124 0.000 0.000 0.000 3.999 0.000 -0.011 0.000 8.680" Properties=species:S:1:pos:R:3 pbc="T T T"
K 4.121 0.000 2.013
K -0.008 0.000 6.668
Be 2.062 2.000 0.000
Hg 2.056 2.000 4.340
```

- Volume: 35.8 Å³/atom
- Mass density: 3338 kg/m³
- Calculated formation energy: 0.49 eV/atom
- Final energy: -4.280 eV per formula unit

=====

(8)
Compound: Be2TlCo
Source: Alexandria
Functional: GGA-PBE
Structure: optimized geometry

The structure in extended XYZ format:
```
4
Lattice="3.778 0.000 0.000 0.000 3.778 0.000 0.000 0.000 3.502" Properties=species:S:1:pos:R:3 pbc="T T T"
Be 0.000 1.889 0.000
Be 1.889 0.000 0.000
Tl 0.000 0.000 1.751
Co 1.889 1.889 1.751
```

- Volume: 12.5 Å³/atom
- Mass density: 9348 kg/m³
- Calculated formation energy: 0.46 eV/atom
- Final energy: -15.103 eV per formula unit

=====

(9)
Compound: PtRh2W
Source: Alexandria
Functional: GGA-PBE
Structure: optimized geometry

The structure in extended XYZ format:
```
4
Lattice="2.770 0.000 0.000 0.000 2.770 0.000 0.000 0.000 7.841" Properties=species:S:1:pos:R:3 pbc="T T T"
Pt 0.000 0.000 0.000
Rh 1.385 1.385 2.055
Rh 1.385 1.385 5.786
W 0.000 0.000 3.921
```

- Volume: 15.0 Å³/atom
- Mass density: 16136 kg/m³
- Calculated formation energy: -0.18 eV/atom
- Final energy: -34.411 eV per formula unit

=====

(10)
Compound: KMnRh2
Source: Alexandria
Functional: GGA-PBE
Structure: optimized geometry

The structure in extended XYZ format:
```
8
Lattice="-3.701 3.701 2.853 3.701 -3.701 2.853 3.701 3.701 -2.853" Properties=species:S:1:pos:R:3 pbc="T T T"
K 0.000 0.000 0.000
K 0.000 3.701 1.426
Mn 3.701 0.000 1.426
Mn 0.000 0.000 2.853
Rh 1.851 -1.401 2.139
Rh 2.300 1.851 0.713
Rh 1.851 5.103 -0.713
Rh 1.401 1.851 3.566
```

- Volume: 19.5 Å³/atom
- Mass density: 6371 kg/m³
- Calculated formation energy: 0.81 eV/atom
- Final energy: -21.738 eV per formula unit

=====

(11)
Compound: Pu4Te2SeS
Source: Alexandria
Functional: GGA-PBE
Structure: optimized geometry

The structure in extended XYZ format:
```
8
Lattice="7.352 0.000 0.000 0.000 4.243 0.000 -2.448 0.000 6.973" Properties=species:S:1:pos:R:3 pbc="T T T"
Pu 1.172 0.000 1.521
Pu -0.053 2.122 5.419
Pu 4.958 2.122 1.554
Pu 3.733 0.000 5.452
Te -1.224 0.000 3.487
Te 2.452 2.122 3.487
Se 3.676 0.000 0.000
S 0.000 2.122 0.000
```

- Energy relative to the elements, uncorrected: -1.34 eV/atom
- Volume: 27.2 Å³/atom
- Mass density: 10245 kg/m³
- Final energy: -81.960 eV per formula unit

=====

(12)
Compound: LaHo2Ni
Source: Alexandria
Functional: GGA-PBE
Structure: optimized geometry

The structure in extended XYZ format:
```
8
Lattice="2.443 -5.979 0.000 2.443 5.979 0.000 0.000 0.000 7.303" Properties=species:S:1:pos:R:3 pbc="T T T"
La 2.443 5.513 5.477
La 2.443 -5.513 1.826
Ho 2.443 1.867 3.857
Ho 2.443 1.867 7.096
Ho 2.443 -1.867 0.206
Ho 2.443 -1.867 3.445
Ni 2.443 3.676 1.826
Ni 2.443 -3.676 5.477
```

- Volume: 26.7 Å³/atom
- Mass density: 8212 kg/m³
- Calculated formation energy: -0.20 eV/atom
- Final energy: -20.681 eV per formula unit